# CeTmTlCo

A geometry-optimized CeTmTlCo structure (PBE, the Alexandria database).

Calculated values
For the total magnetization, the calculation gives 0.21 μB per cell. The energy of formation from the pure elements is -0.24 eV/atom. Its density of states at the Fermi level is 5.360 states/eV/f.u. As for the crystal system: tetragonal.

Lattice parameters (Å, degrees): 3.331 3.331 8.230 90.00 90.00 90.00
Fractional positions:
Ce (0.000, 0.000, 0.000)
Tm (0.000, 0.000, 0.603)
Tl (0.500, 0.500, 0.310)
Co (0.500, 0.500, 0.800)



# Ce2TlZnCo

A geometry-optimized Ce2TlZnCo structure (PBE, the Alexandria database).

Calculated values
For the total magnetization, the calculation gives 1.12 μB per cell. The energy of formation from the pure elements is -0.24 eV/atom. Its density of states at the Fermi level is 6.915 states/eV/f.u. As for the crystal system: monoclinic.

Lattice parameters (Å, degrees): 6.932 4.599 7.568 90.00 107.78 90.00
Fractional positions:
Ce (0.151, 0.250, 0.333)
Ce (0.269, 0.250, 0.960)
Ce (0.731, 0.750, 0.040)
Ce (0.849, 0.750, 0.667)
Tl (0.320, 0.750, 0.652)
Tl (0.680, 0.250, 0.348)
Zn (0.429, 0.750, 0.291)
Zn (0.571, 0.250, 0.709)
Co (0.075, 0.750, 0.065)
Co (0.925, 0.250, 0.935)



# Ce3TmCo8

A geometry-optimized Ce3TmCo8 structure (PBE, the Alexandria database).

Calculated values
For the total magnetization, the calculation gives 0.00 μB per cell. The energy of formation from the pure elements is -0.23 eV/atom. Its density of states at the Fermi level is 18.584 states/eV/f.u. As for the crystal system: trigonal.

Lattice parameters (Å, degrees): 8.641 8.641 8.641 33.60 33.60 33.60
Fractional positions:
Ce (0.000, 0.000, 0.000)
Ce (0.124, 0.124, 0.124)
Ce (0.495, 0.495, 0.495)
Tm (0.621, 0.621, 0.621)
Co (0.057, 0.560, 0.560)
Co (0.060, 0.060, 0.562)
Co (0.060, 0.562, 0.060)
Co (0.309, 0.309, 0.309)
Co (0.560, 0.057, 0.560)
Co (0.560, 0.560, 0.057)
Co (0.562, 0.060, 0.060)
Co (0.810, 0.810, 0.810)



# Ce2TmCo

A geometry-optimized Ce2TmCo structure (PBE, the Alexandria database).

Calculated values
For the total magnetization, the calculation gives 1.02 μB per cell. The energy of formation from the pure elements is 0.30 eV/atom. Its density of states at the Fermi level is 11.009 states/eV/f.u. The distance to the lowest polymorph of the same formula comes out at 443 meV/atom. As for the crystal system: trigonal.

Lattice parameters (Å, degrees): 4.869 4.869 4.869 67.93 67.93 67.93
Fractional positions:
Ce (0.221, 0.221, 0.221)
Ce (0.779, 0.779, 0.779)
Tm (0.500, 0.500, 0.500)
Co (0.000, 0.000, 0.000)